Pr2Pd4Au3 | PBE | relaxed

```
Pr2Pd4Au3
1.0
2.8384 -8.2751 0.0000
2.8384 8.2751 0.0000
0.0000 0.0000 7.8536
Pr Pd Au
4 8 6
direct
0.1098 0.8902 0.9161
0.3902 0.6098 0.4161
0.6098 0.3902 0.5839
0.8902 0.1098 0.0839
0.1641 0.8359 0.5152
0.1793 0.3207 0.7500
0.3207 0.1793 0.2500
0.3359 0.6641 0.0152
0.6641 0.3359 0.9848
0.6793 0.8207 0.7500
0.8207 0.6793 0.2500
0.8359 0.1641 0.4848
0.0000 0.0000 0.5000
0.0096 0.4904 0.7500
0.4904 0.0096 0.2500
0.5000 0.5000 0.0000
0.5096 0.9904 0.7500
0.9904 0.5096 0.2500
```

Properties
- Electronic total energy: -5.077 eV/atom

Pr3Pd2Au4 | PBE | relaxed

```
Pr3Pd2Au4
1.0
5.6382 -2.1786 0.0000
5.6382 2.1786 0.0000
-4.3349 0.0000 8.5797
Pr Pd Au
3 2 4
direct
0.0000 0.0000 0.0000
0.3175 0.3175 0.3629
0.6825 0.6825 0.6371
0.3993 0.3993 0.7419
0.6007 0.6007 0.2581
0.0236 0.0236 0.3674
0.2594 0.2594 0.9124
0.7406 0.7406 0.0876
0.9764 0.9764 0.6326
```

Properties
- Excess energy over the best structure of this formula in the dataset: 0 meV/atom

Pr4Pd3Au5 | PBE | relaxed

```
Pr4Pd3Au5
1.0
5.3512 -2.5986 0.0000
5.3512 2.5986 0.0000
-2.6034 0.0000 9.9903
Pr Pd Au
4 3 5
direct
0.1349 0.1349 0.3003
0.2156 0.2156 0.8952
0.7844 0.7844 0.1048
0.8651 0.8651 0.6997
0.0000 0.0000 0.0000
0.3954 0.3954 0.2411
0.6046 0.6046 0.7589
0.1339 0.1339 0.6043
0.3846 0.3846 0.5364
0.5000 0.5000 0.0000
0.6154 0.6154 0.4636
0.8661 0.8661 0.3957
```

Properties
- Electronic total energy: -4.805 eV/atom

Pr3Pd2Au3 | PBE | relaxed

```
Pr3Pd2Au3
1.0
7.6742 0.0000 0.0000
0.0000 17.3300 0.0000
0.0000 0.0000 5.6958
Pr Pd Au
12 8 12
direct
0.0332 0.1042 0.1279
0.0332 0.3958 0.1279
0.1620 0.2500 0.6420
0.3380 0.7500 0.1420
0.4668 0.6042 0.6279
0.4668 0.8958 0.6279
0.5332 0.1042 0.3721
0.5332 0.3958 0.3721
0.6620 0.2500 0.8580
0.8380 0.7500 0.3580
0.9668 0.6042 0.8721
0.9668 0.8958 0.8721
0.1157 0.6219 0.3688
0.1157 0.8781 0.3688
0.3843 0.1219 0.8688
0.3843 0.3781 0.8688
0.6157 0.6219 0.1312
0.6157 0.8781 0.1312
0.8843 0.1219 0.6312
0.8843 0.3781 0.6312
0.1837 0.0280 0.5867
0.1837 0.4720 0.5867
0.1901 0.7500 0.6571
0.3099 0.2500 0.1571
0.3163 0.5280 0.0867
0.3163 0.9720 0.0867
0.6837 0.0280 0.9133
0.6837 0.4720 0.9133
0.6901 0.7500 0.8429
0.8099 0.2500 0.3429
0.8163 0.5280 0.4133
0.8163 0.9720 0.4133
```

Properties
- Excess energy over the best structure of this formula in the dataset: 0 meV/atom

Spin magnetization readings, ordered: 0.00, 0.00, 0.00, 0.00 μB per formula unit
D(E_F) readings, ordered: 0.406, 0.521, 0.455, 0.598 states/eV per atom